Compound: LaCrCoO6
Source: Alexandria via LeMat-Bulk
Functional: GGA+U
Structure: optimized geometry

Cell: 5.163 6.272 9.093 Å, 90.00 123.97 90.00°
Positions (direct):
1 La 0.000 0.110 0.000
2 La 0.000 0.890 0.500
3 Cr 0.755 0.337 0.269
4 Cr 0.755 0.663 0.769
5 Co 0.216 0.334 0.766
6 Co 0.216 0.666 0.266
7 O 0.078 0.285 0.473
8 O 0.078 0.715 0.973
9 O 0.429 0.291 0.006
10 O 0.429 0.709 0.506
11 O 0.553 0.120 0.275
12 O 0.553 0.880 0.775
13 O 0.614 0.434 0.793
14 O 0.614 0.566 0.293
15 O 0.974 0.106 0.711
16 O 0.974 0.894 0.211
17 O 0.983 0.404 0.180
18 O 0.983 0.596 0.680

Space group: No. 7
Volume in Å³ per cell: 244
Energy in eV per atom: -6.8865